Record 1
Material: Ba2AgRh
Method: DFT, PBE-GGA
State: relaxed

Computed properties:
Energy of formation: -0.7 eV per formula unit
D(E_F): 0.501 states/eV/atom

Cell lengths 4.6963, 4.6963, 24.6359 Å; angles 90.00, 90.00, 120.00 degrees
Space group R3m (No. 160, hexagonal axes)
Unique sites:
1 Ba 0.0000 0.0000 0.0000 x3
2 Ba 0.0000 0.0000 0.1634 x3
3 Ag 0.0000 0.0000 0.4149 x3
4 Rh 0.0000 0.0000 0.7485 x3

Record 2
Material: Ba5Ag2Rh
Method: DFT, PBE-GGA
State: relaxed

Computed properties:
Energy of formation: -1.6 eV per formula unit
D(E_F): 0.778 states/eV/atom

Cell lengths 19.589, 7.808, 8.870 Å; angles 90.00, 97.46, 90.00 degrees
Space group C2/c (No. 15)
Unique sites:
1 Ba 0.000 0.084 0.250 x4
2 Ba 0.101 0.382 0.925 x8
3 Ba 0.217 0.076 0.305 x8
4 Ag 0.102 0.200 0.573 x8
5 Rh 0.250 0.250 0.000 x4

Record 3
Material: Ba2AgRh
Method: DFT, PBE-GGA
State: relaxed

Computed properties:
Energy of formation: -0.8 eV per formula unit
D(E_F): 0.254 states/eV/atom

Cell lengths 6.547, 4.641, 9.133 Å; angles 90.00, 110.94, 90.00 degrees
Space group P2_1/m (No. 11)
Unique sites:
1 Ba 0.217 0.250 0.443 x2
2 Ba 0.228 0.250 0.918 x2
3 Ag 0.360 0.750 0.217 x2
4 Rh 0.375 0.750 0.720 x2